Crystalline ErNp2S5 at its relaxed geometry, computed with GGA-PBE.

Summary:
Symmetry: No. 62

a = 11.6378 Å, b = 7.8862 Å, c = 7.3219 Å
α = 90.00°, β = 90.00°, γ = 90.00°
Closest atoms and distances in Å follow each position.
Fractional coordinates of all 32 atoms:
1 Er 0.0066 0.2500 0.0754  7 S 2.63-2.85
2 Er 0.4934 0.7500 0.5754  7 S 2.63-2.85
3 Er 0.5066 0.2500 0.4246  7 S 2.63-2.85
4 Er 0.9934 0.7500 0.9246  7 S 2.63-2.85
5 Np 0.1804 0.0006 0.5162  8 S 2.76-3.00
6 Np 0.1804 0.4994 0.5162  8 S 2.76-3.00
7 Np 0.3196 0.5006 0.0162  8 S 2.76-3.00
8 Np 0.3196 0.9994 0.0162  8 S 2.76-3.00
9 Np 0.6804 0.0006 0.9838  8 S 2.76-3.00
10 Np 0.6804 0.4994 0.9838  8 S 2.76-3.00
11 Np 0.8196 0.5006 0.4838  8 S 2.76-3.00
12 Np 0.8196 0.9994 0.4838  8 S 2.76-3.00
13 S 0.0004 0.2500 0.4645  1 Er 2.85, 4 Np 2.89-2.90, 1 S 3.17
14 S 0.9996 0.7500 0.5355  1 Er 2.85, 4 Np 2.89-2.90, 1 S 3.17
15 S 0.1026 0.5409 0.1634  2 Er 2.63-2.72, 2 Np 2.76
16 S 0.1026 0.9591 0.1634  2 Er 2.63-2.72, 2 Np 2.76
17 S 0.1878 0.2500 0.8254  1 Er 2.79, 4 Np 2.87-3.00
18 S 0.2156 0.7500 0.7989  1 Er 2.75, 4 Np 2.80-2.89
19 S 0.2844 0.2500 0.2989  1 Er 2.75, 4 Np 2.80-2.89
20 S 0.3123 0.7500 0.3254  1 Er 2.79, 4 Np 2.87-3.00
21 S 0.3974 0.0409 0.6634  2 Er 2.63-2.72, 2 Np 2.76
22 S 0.3974 0.4591 0.6634  2 Er 2.63-2.72, 2 Np 2.76
23 S 0.5004 0.2500 0.0355  1 Er 2.85, 4 Np 2.89-2.90, 1 S 3.17
24 S 0.4996 0.7500 0.9645  1 Er 2.85, 4 Np 2.89-2.90, 1 S 3.17
25 S 0.6026 0.5409 0.3366  2 Er 2.63-2.72, 2 Np 2.76
26 S 0.6026 0.9591 0.3366  2 Er 2.63-2.72, 2 Np 2.76
27 S 0.6878 0.2500 0.6746  1 Er 2.79, 4 Np 2.87-3.00
28 S 0.7156 0.7500 0.7011  1 Er 2.75, 4 Np 2.80-2.89
29 S 0.7844 0.2500 0.2011  1 Er 2.75, 4 Np 2.80-2.89
30 S 0.8122 0.7500 0.1746  1 Er 2.79, 4 Np 2.87-3.00
31 S 0.8974 0.0409 0.8366  2 Er 2.63-2.72, 2 Np 2.76
32 S 0.8974 0.4591 0.8366  2 Er 2.63-2.72, 2 Np 2.76

Crystalline Er2Np3S8 at its relaxed geometry, computed with GGA-PBE.

Summary:
Symmetry: No. 12

a = 7.9424 Å, b = 7.9424 Å, c = 6.7397 Å
α = 107.15°, β = 107.15°, γ = 58.89°
Closest atoms and distances in Å follow each position.
Fractional coordinates of all 13 atoms:
1 Er 0.2369 0.2369 0.1600  6 S 2.69-2.81
2 Er 0.7631 0.7631 0.8400  6 S 2.69-2.81
3 Np 0.2400 0.7600 0.5000  6 S 2.68-2.74
4 Np 0.5000 0.5000 0.0000  6 S 2.75-2.81
5 Np 0.7600 0.2400 0.5000  6 S 2.68-2.74
6 S 0.1116 0.1116 0.3909  2 Np 2.68, 1 Er 2.69
7 S 0.1371 0.6078 0.0898  2 Np 2.74-2.75, 2 Er 2.77-2.78
8 S 0.3831 0.3831 0.5690  3 Np 2.73-2.81, 1 Er 2.81
9 S 0.3922 0.8629 0.9102  2 Np 2.74-2.75, 2 Er 2.77-2.78
10 S 0.6078 0.1371 0.0898  2 Np 2.74-2.75, 2 Er 2.77-2.78
11 S 0.6169 0.6169 0.4310  3 Np 2.73-2.81, 1 Er 2.81
12 S 0.8629 0.3922 0.9102  2 Np 2.74-2.75, 2 Er 2.77-2.78
13 S 0.8884 0.8884 0.6091  2 Np 2.68, 1 Er 2.69

Crystalline ErNpS3 at its relaxed geometry, computed with GGA-PBE.

Summary:
Symmetry: No. 62

a = 7.2873 Å, b = 3.9068 Å, c = 14.9536 Å
α = 90.00°, β = 90.00°, γ = 90.00°
Closest atoms and distances in Å follow each position.
Fractional coordinates of all 20 atoms:
1 Er 0.2368 0.2500 0.0424  7 S 2.73-2.87
2 Er 0.2632 0.7500 0.5424  7 S 2.73-2.87
3 Er 0.7368 0.2500 0.4576  7 S 2.73-2.87
4 Er 0.7632 0.7500 0.9576  7 S 2.73-2.87
5 Np 0.1389 0.7500 0.2924  7 S 2.73-2.93
6 Np 0.3611 0.2500 0.7924  7 S 2.73-2.93
7 Np 0.6389 0.7500 0.2076  7 S 2.73-2.93
8 Np 0.8611 0.2500 0.7076  7 S 2.73-2.93
9 S 0.0103 0.7500 0.1067  3 Er 2.73-2.87, 1 Np 2.93
10 S 0.1245 0.2500 0.4331  3 Er 2.74-2.85, 2 Np 2.87, 1 S 3.02
11 S 0.1462 0.7500 0.7201  4 Np 2.73-2.86, 1 Er 2.79, 1 S 3.02
12 S 0.3538 0.2500 0.2201  4 Np 2.73-2.86, 1 Er 2.79, 1 S 3.02
13 S 0.3755 0.7500 0.9331  3 Er 2.74-2.85, 2 Np 2.87, 1 S 3.02
14 S 0.4897 0.2500 0.6067  3 Er 2.73-2.87, 1 Np 2.93
15 S 0.5103 0.7500 0.3933  3 Er 2.73-2.87, 1 Np 2.93
16 S 0.6245 0.2500 0.0669  3 Er 2.74-2.85, 2 Np 2.87, 1 S 3.02
17 S 0.6462 0.7500 0.7799  4 Np 2.73-2.86, 1 Er 2.79, 1 S 3.02
18 S 0.8538 0.2500 0.2799  4 Np 2.73-2.86, 1 Er 2.79, 1 S 3.02
19 S 0.8755 0.7500 0.5669  3 Er 2.74-2.85, 2 Np 2.87, 1 S 3.02
20 S 0.9897 0.2500 0.8933  3 Er 2.73-2.87, 1 Np 2.93

Crystalline Er2NpSc3S6 at its relaxed geometry, computed with GGA-PBE.

Summary:
Symmetry: No. 12

a = 8.4781 Å, b = 8.4781 Å, c = 7.6036 Å
α = 103.06°, β = 103.06°, γ = 25.68°
Closest atoms and distances in Å follow each position.
Fractional coordinates of all 12 atoms:
1 Er 0.1632 0.1632 0.3278  6 S 2.69-2.75
2 Er 0.8368 0.8368 0.6722  6 S 2.69-2.75
3 Np 0.5000 0.5000 0.0000  6 S 2.74-2.77
4 Sc 0.1649 0.1649 0.8388  6 S 2.60-2.67
5 Sc 0.5000 0.5000 0.5000  6 S 2.61-2.67
6 Sc 0.8351 0.8351 0.1612  6 S 2.60-2.67
7 S 0.0036 0.0036 0.7394  3 Sc 2.60-2.61, 1 Er 2.69, 2 Np 2.74
8 S 0.3280 0.3280 0.9212  3 Sc 2.61-2.62, 2 Er 2.70, 1 Np 2.77
9 S 0.3341 0.3341 0.4092  3 Sc 2.67, 3 Er 2.74-2.75
10 S 0.6659 0.6659 0.5908  3 Sc 2.67, 3 Er 2.74-2.75
11 S 0.6720 0.6720 0.0788  3 Sc 2.61-2.62, 2 Er 2.70, 1 Np 2.77
12 S 0.9964 0.9964 0.2606  3 Sc 2.60-2.61, 1 Er 2.69, 2 Np 2.74

Crystalline ErNp2ScS4 at its relaxed geometry, computed with GGA-PBE.

Summary:
Symmetry: No. 10

a = 6.6265 Å, b = 3.8489 Å, c = 6.6968 Å
α = 90.00°, β = 109.55°, γ = 90.00°
Closest atoms and distances in Å follow each position.
Fractional coordinates of all 8 atoms:
1 Er 0.0000 0.0000 0.0000  6 S 2.70-2.71
2 Np 0.5000 0.0000 0.5000  6 S 2.73-2.74
3 Np 0.5000 0.5000 0.0000  6 S 2.78-2.79
4 Sc 0.0000 0.5000 0.5000  6 S 2.65-2.66
5 S 0.2374 0.0000 0.7410  2 Sc 2.66, 1 Er 2.70, 3 Np 2.74-2.78
6 S 0.2412 0.5000 0.2540  1 Sc 2.65, 2 Er 2.71, 3 Np 2.73-2.79
7 S 0.7588 0.5000 0.7460  1 Sc 2.65, 2 Er 2.71, 3 Np 2.73-2.79
8 S 0.7626 0.0000 0.2590  2 Sc 2.66, 1 Er 2.70, 3 Np 2.74-2.78

Crystalline SmErNp2S4 at its relaxed geometry, computed with GGA-PBE.

Summary:
Symmetry: No. 10

a = 6.7577 Å, b = 3.9308 Å, c = 6.8378 Å
α = 90.00°, β = 109.65°, γ = 90.00°
Closest atoms and distances in Å follow each position.
Fractional coordinates of all 8 atoms:
1 Sm 0.0000 0.0000 0.0000  6 S 2.80-2.81
2 Er 0.0000 0.5000 0.5000  6 S 2.75-2.76
3 Np 0.5000 0.0000 0.5000  6 S 2.74-2.76
4 Np 0.5000 0.5000 0.0000  6 S 2.79-2.81
5 S 0.2489 0.0000 0.7451  3 Np 2.76-2.79, 2 Er 2.76, 1 Sm 2.80
6 S 0.2535 0.5000 0.2582  3 Np 2.74-2.81, 1 Er 2.75, 2 Sm 2.81
7 S 0.7465 0.5000 0.7418  3 Np 2.74-2.81, 1 Er 2.75, 2 Sm 2.81
8 S 0.7511 0.0000 0.2549  3 Np 2.76-2.79, 2 Er 2.76, 1 Sm 2.80

Crystalline Sr2ErNpS6 at its relaxed geometry, computed with GGA-PBE.

Summary:
Symmetry: No. 14

a = 6.9275 Å, b = 7.3891 Å, c = 12.2165 Å
α = 90.00°, β = 124.43°, γ = 90.00°
Closest atoms and distances in Å follow each position.
Fractional coordinates of all 20 atoms:
1 Sr 0.2231 0.0789 0.2491  6 S 3.00-3.22
2 Sr 0.2231 0.4211 0.7491  6 S 3.00-3.22
3 Sr 0.7769 0.5789 0.2509  6 S 3.00-3.22
4 Sr 0.7769 0.9211 0.7509  6 S 3.00-3.22
5 Er 0.0000 0.0000 0.5000  6 S 2.69-2.71
6 Er 0.0000 0.5000 0.0000  6 S 2.69-2.71
7 Np 0.5000 0.0000 0.0000  6 S 2.60-2.63
8 Np 0.5000 0.5000 0.5000  6 S 2.60-2.63
9 S 0.1404 0.1921 0.9436  1 Np 2.60, 1 Er 2.71
10 S 0.1404 0.3079 0.4436  1 Np 2.60, 1 Er 2.71
11 S 0.2549 0.7010 0.9415  1 Np 2.63, 1 Er 2.69
12 S 0.2549 0.7990 0.4415  1 Np 2.63, 1 Er 2.69
13 S 0.3644 0.0331 0.7543  1 Np 2.60, 1 Er 2.69
14 S 0.3644 0.4669 0.2543  1 Np 2.60, 1 Er 2.69
15 S 0.6356 0.5331 0.7457  1 Np 2.60, 1 Er 2.69
16 S 0.6356 0.9669 0.2457  1 Np 2.60, 1 Er 2.69
17 S 0.7451 0.2010 0.5585  1 Np 2.63, 1 Er 2.69
18 S 0.7451 0.2990 0.0585  1 Np 2.63, 1 Er 2.69
19 S 0.8596 0.6921 0.5564  1 Np 2.60, 1 Er 2.71
20 S 0.8596 0.8079 0.0564  1 Np 2.60, 1 Er 2.71

Crystalline Tb2ErNpS4 at its relaxed geometry, computed with GGA-PBE.

Summary:
Symmetry: No. 10

a = 6.7684 Å, b = 3.9022 Å, c = 6.7712 Å
α = 90.00°, β = 109.34°, γ = 90.00°
Closest atoms and distances in Å follow each position.
Fractional coordinates of all 8 atoms:
1 Tb 0.0000 0.0000 0.0000  6 S 2.76-2.77
2 Tb 0.5000 0.5000 0.0000  6 S 2.78-2.79
3 Er 0.0000 0.5000 0.5000  6 S 2.74
4 Np 0.5000 0.0000 0.5000  6 S 2.76
5 S 0.2460 0.0000 0.7463  2 Er 2.74, 3 Tb 2.76-2.79, 1 Np 2.76
6 S 0.2490 0.5000 0.2527  1 Er 2.74, 2 Np 2.76, 3 Tb 2.77-2.78
7 S 0.7510 0.5000 0.7473  1 Er 2.74, 2 Np 2.76, 3 Tb 2.77-2.78
8 S 0.7540 0.0000 0.2537  2 Er 2.74, 3 Tb 2.76-2.79, 1 Np 2.76

Crystalline ErNp2Te2S2 at its relaxed geometry, computed with GGA-PBE.

Summary:
Symmetry: No. 139

a = 8.6283 Å, b = 8.6283 Å, c = 8.6283 Å
α = 146.08°, β = 146.08°, γ = 48.73°
Closest atoms and distances in Å follow each position.
Fractional coordinates of all 7 atoms:
1 Er 0.0000 0.0000 0.0000  4 S 2.52
2 Np 0.3871 0.3871 0.0000  4 S 3.08, 1 Te 3.13
3 Np 0.6129 0.6129 0.0000  4 S 3.08, 1 Te 3.13
4 Te 0.1878 0.1878 0.0000  1 Er 2.95, 1 Np 3.13
5 Te 0.8122 0.8122 0.0000  1 Er 2.95, 1 Np 3.13
6 S 0.0000 0.5000 0.5000  2 Er 2.52
7 S 0.5000 0.0000 0.5000  2 Er 2.52

Crystalline ErNpTl2S4 at its relaxed geometry, computed with GGA-PBE.

Summary:
Symmetry: No. 10

a = 6.9869 Å, b = 4.0359 Å, c = 7.8805 Å
α = 90.00°, β = 107.27°, γ = 90.00°
Closest atoms and distances in Å follow each position.
Fractional coordinates of all 8 atoms:
1 Er 0.0000 0.0000 0.0000  6 S 2.74
2 Np 0.5000 0.5000 0.0000  6 S 2.76-2.78
3 Tl 0.0000 0.5000 0.5000  6 S 3.25-3.26
4 Tl 0.5000 0.0000 0.5000  6 S 3.28
5 S 0.2277 0.5000 0.1959  2 Er 2.74, 1 Np 2.78
6 S 0.2659 0.0000 0.8050  1 Er 2.74, 2 Np 2.76
7 S 0.7341 0.0000 0.1950  1 Er 2.74, 2 Np 2.76
8 S 0.7723 0.5000 0.8041  2 Er 2.74, 1 Np 2.78

Raw formation energy per entry: -1.560; -1.506; -1.739; -1.822; -1.625; -1.666; -1.759; -1.842; -0.999; -1.241 eV/atom